Model i:
## HoSc2Ga (GGA-PBE)

Data for a geometry-optimized HoSc2Ga structure.

Cell: 10.844 10.844 10.844 Å, 17.47 17.47 17.47°
Sites, in units of the cell vectors:
Ho  0.000  0.000  0.000
Sc  0.101  0.101  0.101
Sc  0.899  0.899  0.899
Ga  0.500  0.500  0.500

M_tot   0.92 μB/cell
Volume   25.1 Å³/atom
Fermi-level density of states   6.1 states/eV per cell

***

Model ii:
## HoSc2Ga (GGA-PBE)

Data for a geometry-optimized HoSc2Ga structure.

Cell: 4.290 4.396 10.453 Å, 90.00 101.78 90.00°
Sites, in units of the cell vectors:
Ho  0.194  0.250  0.389
Ho  0.806  0.750  0.611
Sc  0.059  0.750  0.119
Sc  0.433  0.750  0.864
Sc  0.567  0.250  0.136
Sc  0.941  0.250  0.881
Ga  0.343  0.250  0.683
Ga  0.657  0.750  0.317

M_tot   0.00 μB/cell
Volume   24.1 Å³/atom
Fermi-level density of states   10.7 states/eV per cell

***

Which one is most stable, and which one is least stable? model ii is the most stable of them, while model i is the least stable.

***

Model i:
## HoSc2Ga (GGA-PBE)

Data for a geometry-optimized HoSc2Ga structure.

Cell: 3.330 3.330 8.420 Å, 90.00 90.00 90.00°
Sites, in units of the cell vectors:
Ho  0.000  0.000  0.000
Sc  0.500  0.500  0.293
Sc  0.500  0.500  0.707
Ga  0.000  0.000  0.500

M_tot   0.00 μB/cell
Volume   23.3 Å³/atom
Fermi-level density of states   4.2 states/eV per cell

***

Model ii:
## HoSc2Ga (GGA-PBE)

Data for a geometry-optimized HoSc2Ga structure.

Cell: 6.038 6.038 8.083 Å, 90.00 90.00 138.70°
Sites, in units of the cell vectors:
Ho  0.060  0.940  0.750
Ho  0.940  0.060  0.250
Sc  0.358  0.642  0.556
Sc  0.358  0.642  0.944
Sc  0.642  0.358  0.056
Sc  0.642  0.358  0.444
Ga  0.233  0.767  0.250
Ga  0.767  0.233  0.750

M_tot   0.00 μB/cell
Volume   24.3 Å³/atom
Fermi-level density of states   10.4 states/eV per cell

***

Which one is most stable, and which one is least stable? model i is the most stable of them, while model ii is the least stable.

***

Model i:
## Ho2ScGa3 (GGA-PBE)

Data for a geometry-optimized Ho2ScGa3 structure.

Cell: 7.906 7.906 7.906 Å, 154.97 136.84 50.54°
Sites, in units of the cell vectors:
Ho  0.170  0.170  0.000
Ho  0.830  0.830  0.000
Sc  0.500  0.500  0.000
Ga  0.000  0.500  0.500
Ga  0.342  0.842  0.500
Ga  0.658  0.158  0.500

M_tot   0.00 μB/cell
Volume   23.7 Å³/atom
Fermi-level density of states   6.2 states/eV per cell

***

Model ii:
## Ho2ScGa3 (GGA-PBE)

Data for a geometry-optimized Ho2ScGa3 structure.

Cell: 4.934 4.934 12.140 Å, 90.00 90.00 120.00°
Sites, in units of the cell vectors:
Ho  0.000  0.000  0.000
Ho  0.000  0.000  0.500
Ho  0.333  0.667  0.172
Ho  0.667  0.333  0.828
Sc  0.333  0.667  0.666
Sc  0.667  0.333  0.334
Ga  0.000  0.000  0.254
Ga  0.000  0.000  0.746
Ga  0.333  0.667  0.419
Ga  0.333  0.667  0.914
Ga  0.667  0.333  0.086
Ga  0.667  0.333  0.581

M_tot   0.00 μB/cell
Volume   21.3 Å³/atom
Fermi-level density of states   5.5 states/eV per cell

***

Which one is most stable, and which one is least stable? model ii is the most stable of them, while model i is the least stable.